1.
Compound: La3Er3Th
Source: Alexandria via LeMat-Bulk
Functional: GGA-PBE
Structure: optimized geometry

**M_tot**: 0.0 μB per formula unit
**Calculated density**: 7.93 Mg/m³
**Formation enthalpy at 0 K**: 0.1255 eV per atom
**Fermi-level density of states**: 18.0 states/eV per cell

Cell and atoms, written as POSCAR:
```
La3Er3Th
1.0
3.590 0.000 0.000
0.000 10.163 -5.044
0.000 -4.649 15.511
La Th Er
6 2 6
Direct
0.250 0.350 0.365
0.750 0.556 0.113
0.750 0.650 0.635
0.250 0.839 0.893
0.750 0.161 0.107
0.250 0.444 0.887
0.250 0.865 0.371
0.750 0.135 0.629
0.250 0.905 0.162
0.250 0.428 0.673
0.750 0.162 0.427
0.750 0.572 0.327
0.750 0.095 0.838
0.250 0.838 0.573
```

2.
Compound: Sr3AcSm2Se6
Source: Alexandria via LeMat-Bulk
Functional: GGA-PBE
Structure: optimized geometry

**M_tot**: 0.0 μB per formula unit
**Calculated density**: 6.01 Mg/m³
**E_form (uncorrected)**: -1912 meV per atom
**Fermi-level density of states**: 4.7 states/eV per cell

Cell and atoms, written as POSCAR:
```
Sr3AcSm2Se6
1.0
-7.181 -1.635 -1.332
5.412 -4.102 -3.147
0.544 -2.502 7.175
Se Ac Sr Sm
6 1 3 2
Direct
0.264 0.264 0.759
0.575 0.919 0.757
0.736 0.736 0.241
0.081 0.425 0.243
0.425 0.081 0.243
0.919 0.575 0.757
0.000 0.000 0.000
0.836 0.164 0.500
0.500 0.500 0.500
0.164 0.836 0.500
0.667 0.333 0.000
0.333 0.667 0.000
```

3.
Compound: GaHgS2I
Source: Alexandria via LeMat-Bulk
Functional: GGA-PBE
Structure: optimized geometry

**M_tot**: 0.3 μB per formula unit
**Calculated density**: 5.42 Mg/m³
**E_form (uncorrected)**: 162 meV per atom
**Fermi-level density of states**: 2.4 states/eV per cell

Cell and atoms, written as POSCAR:
```
GaHgS2I
1.0
-3.700 -1.790 -2.059
-2.880 -0.904 5.964
-1.875 4.189 -0.271
S Ga Hg I
2 1 1 1
Direct
0.000 0.000 0.500
0.500 0.000 0.000
0.000 0.000 0.000
0.500 0.500 0.500
0.000 0.500 0.000
```

4.
Compound: Nd6As3SeS2
Source: Alexandria via LeMat-Bulk
Functional: GGA-PBE
Structure: optimized geometry

**M_tot**: 0.0 μB per formula unit
**Calculated density**: 6.49 Mg/m³
**E_form (uncorrected)**: -1773 meV per atom
**Fermi-level density of states**: 4.3 states/eV per cell

Cell and atoms, written as POSCAR:
```
Nd6As3SeS2
1.0
4.212 0.000 0.000
0.000 8.389 0.307
-2.106 -2.408 8.842
S Nd As Se
2 6 3 1
Direct
0.833 0.666 0.666
0.167 0.334 0.334
0.001 0.257 0.002
0.330 0.914 0.661
0.667 0.583 0.335
0.999 0.743 0.998
0.333 0.417 0.665
0.670 0.086 0.339
0.165 0.833 0.331
0.500 0.500 0.000
0.835 0.167 0.669
0.500 0.000 0.000
```

5.
Compound: LiGaPd4
Source: Alexandria via LeMat-Bulk
Functional: GGA-PBE
Structure: optimized geometry

**M_tot**: 0.0 μB per formula unit
**Calculated density**: 8.09 Mg/m³
**Formation enthalpy at 0 K**: -0.2879 eV per atom
**Fermi-level density of states**: 6.5 states/eV per cell
**ΔE to the lowest computed polymorph**: 0.0714 eV per atom

Cell and atoms, written as POSCAR:
```
LiGaPd4
1.0
4.364 0.000 -1.141
0.000 5.331 0.000
-0.012 0.000 8.870
Pd Li Ga
8 2 2
Direct
0.149 0.822 0.297
0.295 0.573 0.589
0.706 0.572 0.411
0.851 0.322 0.703
0.562 0.322 0.124
0.294 0.072 0.589
0.705 0.073 0.411
0.438 0.822 0.876
0.146 0.323 0.291
0.854 0.823 0.709
0.579 0.822 0.158
0.421 0.322 0.842
```

6.
Compound: LaNd2H
Source: Alexandria via LeMat-Bulk
Functional: GGA-PBE
Structure: optimized geometry

**M_tot**: 0.0 μB per formula unit
**Calculated density**: 6.79 Mg/m³
**Fermi-level density of states**: 4.0 states/eV per cell
**ΔE to the lowest computed polymorph**: 0.2663 eV per atom

Cell and atoms, written as POSCAR:
```
LaNd2H
1.0
-2.839 1.362 -1.344
-1.401 -3.118 -0.202
-3.404 0.998 8.200
Nd H La
2 1 1
Direct
0.000 0.000 0.180
0.000 0.000 0.820
0.500 0.500 0.000
0.500 0.500 0.500
```

7.
Compound: Ac2Y6Er
Source: Alexandria via LeMat-Bulk
Functional: GGA-PBE
Structure: optimized geometry

**M_tot**: 0.0 μB per formula unit
**Calculated density**: 6.01 Mg/m³
**Formation enthalpy at 0 K**: 0.1294 eV per atom
**Fermi-level density of states**: 16.3 states/eV per cell

Cell and atoms, written as POSCAR:
```
Ac2Y6Er
1.0
-1.444 -0.323 -3.328
7.968 -1.873 -3.280
-3.432 -9.240 2.389
Y Er Ac
6 1 2
Direct
0.000 0.984 0.323
0.500 0.683 0.098
0.000 0.374 0.215
0.000 0.626 0.785
0.500 0.317 0.902
0.000 0.016 0.677
0.000 0.000 0.000
0.500 0.693 0.460
0.500 0.307 0.540
```

8.
Compound: AlRuNO2
Source: Alexandria via LeMat-Bulk
Functional: GGA-PBE
Structure: optimized geometry

**M_tot**: 2.8 μB per formula unit
**Calculated density**: 5.74 Mg/m³
**E_form (uncorrected)**: -314 meV per atom
**Fermi-level density of states**: 3.4 states/eV per cell

Cell and atoms, written as POSCAR:
```
AlRuNO2
1.0
3.588 0.000 0.000
0.000 3.588 0.000
0.000 0.000 3.912
N Al Ru O
1 1 1 2
Direct
0.000 0.000 0.500
0.000 0.000 0.000
0.500 0.500 0.500
0.500 0.000 0.000
0.000 0.500 0.000
```

9.
Compound: Y2Np5S12
Source: Alexandria via LeMat-Bulk
Functional: GGA-PBE
Structure: optimized geometry

**M_tot**: 3.2 μB per formula unit
**Calculated density**: 5.95 Mg/m³
**E_form (uncorrected)**: -1400 meV per atom
**Fermi-level density of states**: 41.0 states/eV per cell

Cell and atoms, written as POSCAR:
```
Y2Np5S12
1.0
-7.026 2.452 -2.472
6.107 -0.365 -5.281
-3.403 -8.684 1.058
S Np Y
12 5 2
Direct
0.639 0.724 0.493
0.937 0.873 0.161
0.475 0.401 0.153
0.086 0.724 0.493
0.361 0.276 0.507
0.477 0.954 0.187
0.914 0.276 0.507
0.525 0.599 0.847
0.063 0.127 0.839
0.523 0.046 0.813
0.074 0.599 0.847
0.926 0.401 0.153
0.000 0.000 0.500
0.734 0.468 0.960
0.266 0.532 0.040
0.695 0.390 0.384
0.305 0.610 0.616
0.246 0.000 0.000
0.754 0.000 0.000
```

10.
Compound: CsK6Cd4
Source: Alexandria via LeMat-Bulk
Functional: GGA-PBE
Structure: optimized geometry

**M_tot**: 0.0 μB per formula unit
**Calculated density**: 2.38 Mg/m³
**Formation enthalpy at 0 K**: -0.0340 eV per atom
**Fermi-level density of states**: 6.8 states/eV per cell

Cell and atoms, written as POSCAR:
```
CsK6Cd4
1.0
-4.084 6.328 -5.323
7.116 -0.336 -5.858
-4.583 -7.874 2.145
K Cd Cs
6 4 1
Direct
0.000 0.500 0.000
0.500 0.000 0.000
0.591 0.591 0.563
0.972 0.972 0.563
0.028 0.409 0.437
0.409 0.028 0.437
0.094 0.800 0.894
0.800 0.094 0.894
0.906 0.906 0.106
0.200 0.200 0.106
0.500 0.500 0.000
```

11.
Compound: KNa2Ag3Cl6
Source: Alexandria via LeMat-Bulk
Functional: GGA-PBE
Structure: optimized geometry

**M_tot**: 0.0 μB per formula unit
**Calculated density**: 3.30 Mg/m³
**E_form (uncorrected)**: -1125 meV per atom
**Fermi-level density of states**: 0.0 states/eV per cell

Cell and atoms, written as POSCAR:
```
KNa2Ag3Cl6
1.0
-2.729 -1.857 2.661
5.663 1.696 6.992
-3.325 7.701 -1.413
Na Ag Cl K
2 3 6 1
Direct
0.830 0.663 0.660
0.170 0.337 0.340
0.500 0.500 0.000
0.837 0.208 0.674
0.163 0.792 0.326
0.314 0.860 0.628
0.011 0.753 0.022
0.686 0.140 0.372
0.655 0.540 0.310
0.989 0.247 0.978
0.345 0.460 0.690
0.500 0.000 0.000
```

12.
Compound: K3Rb2Na
Source: Alexandria via LeMat-Bulk
Functional: GGA-PBE
Structure: optimized geometry

**M_tot**: 0.0 μB per formula unit
**Calculated density**: 1.21 Mg/m³
**Formation enthalpy at 0 K**: 0.0188 eV per atom
**Fermi-level density of states**: 7.1 states/eV per cell

Cell and atoms, written as POSCAR:
```
K3Rb2Na
1.0
10.250 0.000 0.000
0.000 11.387 -2.840
0.000 -7.338 9.159
Rb K Na
4 6 2
Direct
0.220 0.324 0.676
0.720 0.676 0.324
0.220 0.676 0.324
0.720 0.324 0.676
0.470 0.140 0.860
0.970 0.860 0.140
0.970 0.140 0.860
0.970 0.500 0.500
0.470 0.860 0.140
0.470 0.500 0.500
0.720 0.000 0.000
0.220 0.000 0.000
```